(1)
The following is a GGA-PBE calculation of Er3IrRh2 after structural relaxation, from the Alexandria database.

Computed properties:
Formation energy = -5.6 eV/f.u.
Size of the total moment = 0.000 Bohr magnetons per cell

Lattice parameters (Å, degrees): 4.804 4.804 11.745 90.00 90.00 120.00
Fractional coordinates of all 12 atoms:
1 Rh 0.000 0.000 0.000
2 Er 0.000 0.000 0.251
3 Ir 0.333 0.667 0.666
4 Er 0.333 0.667 0.417
5 Er 0.333 0.667 0.916
6 Er 0.667 0.333 0.583
7 Rh 0.333 0.667 0.165
8 Er 0.000 0.000 0.749
9 Er 0.667 0.333 0.084
10 Rh 0.667 0.333 0.835
11 Ir 0.667 0.333 0.334
12 Rh 0.000 0.000 0.500

(2)
The following is a GGA-PBE calculation of Er5IrRh2 after structural relaxation, from the Alexandria database.

Computed properties:
Formation energy = -6.2 eV/f.u.
Size of the total moment = 0.001 Bohr magnetons per cell

Lattice parameters (Å, degrees): 7.248 7.248 8.636 114.81 114.81 90.00
Fractional coordinates of all 16 atoms:
1 Er 0.970 0.470 0.288
2 Er 0.000 0.000 0.000
3 Ir 0.750 0.750 0.500
4 Rh 0.869 0.631 0.000
5 Er 0.500 0.500 0.000
6 Er 0.030 0.530 0.712
7 Er 0.818 0.970 0.288
8 Er 0.470 0.318 0.288
9 Ir 0.250 0.250 0.500
10 Er 0.530 0.682 0.712
11 Er 0.318 0.818 0.288
12 Rh 0.631 0.131 0.000
13 Er 0.182 0.030 0.712
14 Rh 0.369 0.869 0.000
15 Rh 0.131 0.369 0.000
16 Er 0.682 0.182 0.712

(3)
The following is a GGA-PBE calculation of Er3Ir2Rh after structural relaxation, from the Alexandria database.

Computed properties:
Energy above the most stable polymorph in this dataset = 0.0 meV/atom
Formation energy = -5.4 eV/f.u.
Size of the total moment = 0.000 Bohr magnetons per cell

Lattice parameters (Å, degrees): 3.486 4.737 7.497 108.42 90.00 90.00
Fractional coordinates of all 6 atoms:
1 Ir 0.000 0.666 0.332
2 Er 0.500 0.832 0.665
3 Er 0.500 0.168 0.335
4 Er 0.500 0.500 0.000
5 Ir 0.000 0.334 0.668
6 Rh 0.000 0.000 0.000

(4)
The following is a GGA-PBE calculation of Er5Ir4Rh after structural relaxation, from the Alexandria database.

Computed properties:
Formation energy = -8.9 eV/f.u.
Size of the total moment = 0.000 Bohr magnetons per cell

Lattice parameters (Å, degrees): 3.327 3.327 17.664 90.00 90.00 90.00
Fractional coordinates of all 10 atoms:
1 Er 0.500 0.500 0.700
2 Er 0.500 0.500 0.900
3 Ir 0.000 0.000 0.801
4 Ir 0.000 0.000 0.199
5 Er 0.500 0.500 0.300
6 Ir 0.000 0.000 0.600
7 Ir 0.000 0.000 0.400
8 Rh 0.000 0.000 0.000
9 Er 0.500 0.500 0.100
10 Er 0.500 0.500 0.500